FeCO2F | PBE+U | relaxed

Unit cell a=3.851 b=3.851 c=3.834 alpha=90.00 beta=90.00 gamma=90.00
Each line ends with the local moment (μB).
Atoms (fractional coordinates):
O 0.500 0.000 0.000  -0.15
O 0.000 0.500 0.000  -0.15
F 0.000 0.000 0.500  0.13
C 0.500 0.500 0.500  0.50
Fe 0.000 0.000 0.000  4.28

Properties
Energy (eV per atom): -4.823
Mass density (g cm⁻³): 3.47
Symmetry: P4/mmm (123)
Fermi-level density of states (states/eV per cell): 1.9